A geometry-optimized Tb4AgRu3 structure. Source: Alexandria via LeMat-Bulk, functional GGA-PBE.

Unit cell a=4.8879 b=6.9765 c=9.7744 alpha=90.00 beta=90.00 gamma=90.00
Last column: nearest neighbours and their distance in Å.
Element x y z (fractional)
Tb 0.5000 0.2396 0.5000  6 Ru 2.96-3.04, 2 Ag 3.05
Tb 0.5000 0.7604 0.5000  6 Ru 2.96-3.04, 2 Ag 3.05
Tb 0.5000 0.7604 0.0000  6 Ru 2.96-3.04, 2 Ag 3.05
Tb 0.9997 0.7603 0.2500  6 Ru 2.96-3.05, 2 Ag 3.04
Tb 0.0003 0.7603 0.7500  6 Ru 2.96-3.05, 2 Ag 3.04
Tb 0.0003 0.2397 0.7500  6 Ru 2.96-3.05, 2 Ag 3.04
Tb 0.5000 0.2396 0.0000  6 Ru 2.96-3.04, 2 Ag 3.05
Tb 0.9997 0.2397 0.2500  6 Ru 2.96-3.05, 2 Ag 3.04
Ru 0.0000 0.0000 0.5000  8 Tb 2.96
Ru 0.4996 0.5000 0.2500  8 Tb 3.04-3.05
Ru 0.0000 0.0000 0.0000  8 Tb 2.96
Ru 0.4998 0.0000 0.2500  8 Tb 2.96
Ru 0.5004 0.5000 0.7500  8 Tb 3.04-3.05
Ru 0.5002 0.0000 0.7500  8 Tb 2.96
Ag 0.0000 0.5000 0.5000  8 Tb 3.04-3.05
Ag 0.0000 0.5000 0.0000  8 Tb 3.04-3.05

Summary:
The volume comes out at 333 Å³/cell. The value obtained for the formation energy is -0.343 eV/atom. The magnetization comes out at 0.00 μB per cell. Its density is 10.4 g/cm³. For the total energy, the calculation gives -6.49 eV per atom.